A plane-wave DFT calculation with PBE-GGA was carried out for a geometry-optimized BeNbH structure.

Unit cell a=3.6919 b=3.6919 c=3.6919 alpha=60.00 beta=60.00 gamma=60.00
With the nearest neighbours (Å) after each atom.
Element x y z (fractional)
Nb 0.5000 0.5000 0.5000  4 Be 2.26, 4 H 2.26
H 0.2500 0.2500 0.2500  4 Nb 2.26
Be 0.7500 0.7500 0.7500  4 Nb 2.26

Properties
* calculated total energy: -14.5 eV/f.u.
* magnetic moment: 0.0 μB/cell
* SG: No. 216

=====

A plane-wave DFT calculation with PBE-GGA was carried out for a geometry-optimized DyPaPbO6 structure.

Unit cell a=4.8639 b=5.6484 c=5.6484 alpha=120.00 beta=90.00 gamma=90.00
With the nearest neighbours (Å) after each atom.
Element x y z (fractional)
O 0.2539 0.3255 0.3389  1 Pa 2.21, 1 Pb 2.23, 1 Dy 2.28
O 0.7461 0.0134 0.3389  1 Pa 2.21, 1 Pb 2.23, 1 Dy 2.28
O 0.7461 0.6611 0.6745  1 Pa 2.21, 1 Pb 2.23, 1 Dy 2.28
O 0.2539 0.0134 0.6745  1 Pa 2.21, 1 Pb 2.23, 1 Dy 2.28
O 0.2539 0.6611 0.9866  1 Pa 2.21, 1 Pb 2.23, 1 Dy 2.28
O 0.7461 0.3255 0.9866  1 Pa 2.21, 1 Pb 2.23, 1 Dy 2.28
Pb 0.5000 0.0000 0.0000  6 O 2.23
Dy 0.5000 0.6667 0.3333  6 O 2.28
Pa 0.0000 0.3333 0.6667  6 O 2.21

Properties
* magnetic moment: 0.0 μB/cell
* SG: No. 149
* energy relative to the elements, uncorrected: -2605 meV per atom

=====

A plane-wave DFT calculation with PBE-GGA was carried out for a geometry-optimized CeDy2Co structure.

Unit cell a=6.3002 b=6.7837 c=9.5330 alpha=90.00 beta=90.00 gamma=90.00
With the nearest neighbours (Å) after each atom.
Element x y z (fractional)
Co 0.0138 0.3620 0.2500  1 Ce 2.30
Co 0.5138 0.1380 0.7500  1 Ce 2.30
Co 0.4862 0.8620 0.2500  1 Ce 2.30
Co 0.9862 0.6380 0.7500  1 Ce 2.30
Dy 0.8258 0.3326 0.9326  2 Co 2.89-2.94
Dy 0.8258 0.3326 0.5674  2 Co 2.89-2.94
Dy 0.3258 0.1674 0.4326  2 Co 2.89-2.94
Dy 0.3258 0.1674 0.0674  2 Co 2.89-2.94
Dy 0.6742 0.8326 0.5674  2 Co 2.89-2.94
Dy 0.6742 0.8326 0.9326  2 Co 2.89-2.94
Dy 0.1742 0.6674 0.0674  2 Co 2.89-2.94
Dy 0.1742 0.6674 0.4326  2 Co 2.89-2.94
Ce 0.6500 0.5593 0.2500  1 Co 2.30
Ce 0.8500 0.0593 0.2500  1 Co 2.30
Ce 0.3500 0.4407 0.7500  1 Co 2.30
Ce 0.1500 0.9407 0.7500  1 Co 2.30

Properties
* formation energy from the elements: -0.71 eV/f.u.
* magnetic moment: 1.0 μB/cell
* SG: No. 62

=====

A plane-wave DFT calculation with PBE-GGA was carried out for a geometry-optimized DySO4 structure.

Unit cell a=5.9315 b=5.9315 c=5.9315 alpha=106.02 beta=106.02 gamma=116.62
With the nearest neighbours (Å) after each atom.
Element x y z (fractional)
O 0.2514 0.9248 0.3266  1 S 1.65
O 0.4986 0.3252 0.1734  1 S 1.65
O 0.6748 0.5014 0.8266  1 S 1.65
O 0.0752 0.4019 0.3266  1 S 1.65
O 0.6748 0.8481 0.1734  1 S 1.65
O 0.5981 0.9248 0.6734  1 S 1.65
O 0.1519 0.3252 0.8266  1 S 1.65
O 0.0752 0.7486 0.6734  1 S 1.65
Dy 0.7500 0.2500 0.5000  8 O 2.37-2.38
Dy 0.0000 0.0000 0.0000  8 O 2.37-2.38
S 0.5000 0.5000 0.0000  4 O 1.65
S 0.2500 0.7500 0.5000  4 O 1.65

Properties
* magnetic moment: 0.0 μB/cell
* SG: No. 141
* energy relative to the elements, uncorrected: -1891 meV per atom

=====

A plane-wave DFT calculation with PBE-GGA was carried out for a geometry-optimized NaHfMgSn2 structure.

Unit cell a=5.2452 b=5.2100 c=5.2452 alpha=90.00 beta=90.00 gamma=90.00
With the nearest neighbours (Å) after each atom.
Element x y z (fractional)
Hf 0.0000 0.5000 0.0000  2 Na 2.60
Sn 0.5000 0.0000 0.0000  2 Na 2.62
Sn 0.0000 0.0000 0.5000  2 Na 2.62
Mg 0.5000 0.5000 0.5000  8 Sn 3.70, 4 Hf 3.71
Na 0.0000 0.0000 0.0000  2 Hf 2.60, 4 Sn 2.62

Properties
* formation energy from the elements: 5.09 eV/f.u.
* magnetic moment: 0.1 μB/cell
* SG: No. 123

=====

A plane-wave DFT calculation with PBE-GGA was carried out for a geometry-optimized AsPbSe2 structure.

Unit cell a=3.5605 b=3.5605 c=7.2808 alpha=90.00 beta=90.00 gamma=90.00
With the nearest neighbours (Å) after each atom.
Element x y z (fractional)
Se 0.0000 0.0000 0.4750  4 As 3.00, 4 Pb 3.22, 1 Se 3.28
Se 0.0000 0.0000 0.0250  4 As 3.00, 4 Pb 3.22, 1 Se 3.28
As 0.5000 0.5000 0.2500  8 Se 3.00
Pb 0.5000 0.5000 0.7500  8 Se 3.22, 4 Pb 3.56

Properties
* magnetic moment: 0.0 μB/cell
* SG: No. 123
* energy relative to the elements, uncorrected: 104 meV per atom

=====

A plane-wave DFT calculation with PBE-GGA was carried out for a geometry-optimized BiPdRh structure.

Unit cell a=3.2909 b=4.4417 c=4.4417 alpha=120.00 beta=90.00 gamma=90.00
With the nearest neighbours (Å) after each atom.
Element x y z (fractional)
Rh 0.3916 0.3333 0.6667  3 Bi 2.69, 3 Pd 2.91
Bi 0.6377 0.6667 0.3333  3 Rh 2.69, 3 Pd 2.79
Pd 0.9707 0.0000 0.0000  3 Bi 2.79, 3 Rh 2.91

Properties
* formation energy from the elements: -0.07 eV/f.u.
* magnetic moment: 0.0 μB/cell
* SG: No. 156